i:
Here is a geometry-optimized Si2O structure from Alexandria via LeMat-Bulk. Energies are from GGA-PBE.

Properties
- Magnetization: 0.0 μB per formula unit

a = 7.283 Å, b = 2.795 Å, c = 4.651 Å
α = 90.00°, β = 115.63°, γ = 90.00°
Space group Cm (No. 8)
Unique sites:
1 Si 0.000 0.000 0.000 x2
2 Si 0.144 0.500 0.724 x2
3 O 0.088 0.000 0.422 x2



ii:
Here is a geometry-optimized Si2O structure from Alexandria via LeMat-Bulk. Energies are from GGA-PBE.

Properties
- Magnetization: 0.4 μB per formula unit

a = 9.360 Å, b = 9.360 Å, c = 9.360 Å
α = 90.00°, β = 90.00°, γ = 90.00°
Space group Fd-3m (No. 227, origin choice 2)
Unique sites:
1 Si 0.000 0.000 0.000 x16
2 O 0.125 0.125 0.125 x8



It is ii that is the least stable of them.



i:
Here is a geometry-optimized Sm2SiO5 structure from Alexandria via LeMat-Bulk. Energies are from GGA-PBE.

Properties
- Magnetization: 0.0 μB per formula unit

a = 14.761 Å, b = 6.952 Å, c = 10.764 Å
α = 90.00°, β = 122.04°, γ = 90.00°
Space group C2/c (No. 15)
Unique sites:
1 Sm 0.037 0.247 0.465 x8
2 Sm 0.144 0.119 0.836 x8
3 Si 0.181 0.412 0.307 x8
4 O 0.017 0.092 0.896 x8
5 O 0.092 0.498 0.143 x8
6 O 0.119 0.219 0.319 x8
7 O 0.199 0.432 0.933 x8
8 O 0.205 0.145 0.673 x8



ii:
Here is a geometry-optimized Sm2SiO5 structure from Alexandria via LeMat-Bulk. Energies are from GGA-PBE.

Properties
- Magnetization: 0.0 μB per formula unit

a = 9.240 Å, b = 7.307 Å, c = 6.815 Å
α = 90.00°, β = 108.19°, γ = 90.00°
Space group P2_1/c (No. 14)
Unique sites:
1 Sm 0.022 0.125 0.232 x4
2 Sm 0.389 0.154 0.090 x4
3 Si 0.299 0.581 0.042 x4
4 O 0.115 0.122 0.950 x4
5 O 0.117 0.635 0.993 x4
6 O 0.293 0.074 0.361 x4
7 O 0.368 0.041 0.754 x4
8 O 0.410 0.746 0.554 x4



It is ii that is the least stable of them.